DFT (PBE-GGA) results for LaSnAu after structural relaxation.

Geometry as POSCAR:
```
LaSnAu
1.0
4.6520 0.0000 0.0000
0.0000 4.6520 0.0000
0.0000 0.0000 7.5205
La Sn Au
2 2 2
Cartesian
1.1630 3.4890 0.0000
3.4890 1.1630 0.0000
1.1630 1.1630 2.6165
3.4890 3.4890 4.9040
1.1630 1.1630 5.3656
3.4890 3.4890 2.1549
```

Output
The value obtained for the total magnetization is 0.0000 μB per atom. As for the space-group type: P4/nmm. As for the formation energy: -0.39 eV per atom. The total energy is -4.4576 eV/atom.

---

DFT (PBE-GGA) results for MnSiTc after structural relaxation.

Geometry as POSCAR:
```
MnSiTc
1.0
5.5237 0.0000 0.0000
0.0000 5.5237 0.0000
0.0000 0.0000 5.5237
Mn Si Tc
4 4 4
Cartesian
0.0000 0.0000 0.0000
0.0000 2.7618 2.7618
2.7618 0.0000 2.7618
2.7618 2.7618 0.0000
1.3809 1.3809 1.3809
1.3809 4.1428 4.1428
4.1428 1.3809 4.1428
4.1428 4.1428 1.3809
1.3809 1.3809 4.1428
1.3809 4.1428 1.3809
4.1428 1.3809 1.3809
4.1428 4.1428 4.1428
```

Output
The value obtained for the total magnetization is 0.0000 μB per atom. As for the space-group type: F-43m. The total energy is -8.5424 eV/atom. As for the polymorph energy (0 for the lowest one): 123 meV/atom.

---

DFT (PBE-GGA) results for CePr2DyN4 after structural relaxation.

Geometry as POSCAR:
```
CePr2DyN4
1.0
6.2082 0.0000 0.0000
0.0000 3.6015 0.0000
-2.0585 0.0000 5.8962
Ce Pr Dy N
1 2 1 4
Cartesian
0.0000 0.0000 0.0000
-1.0293 1.8007 2.9481
2.0748 0.0000 2.9481
3.1041 1.8007 0.0000
1.0300 1.8007 1.3643
-0.0132 0.0000 4.5271
4.1628 0.0000 1.3690
3.1197 1.8007 4.5318
```

Output
The value obtained for the total magnetization is 0.0000 μB per atom. As for the space-group type: P2/m. The total energy is -8.1276 eV/atom.

---

DFT (PBE-GGA) results for PuFeNi after structural relaxation.

Geometry as POSCAR:
```
PuFeNi
1.0
3.9928 0.0000 0.0000
-1.9964 3.4578 0.0000
0.0000 0.0000 3.7567
Pu Fe Ni
1 1 1
Cartesian
0.0000 0.0000 0.0000
1.9964 1.1526 1.8784
0.0000 2.3052 1.8784
```

Output
The value obtained for the total magnetization is 1.0554 μB per atom. As for the space-group type: P-6m2. As for the formation energy: 0.03 eV per atom. The total energy is -9.4998 eV/atom. As for the polymorph energy (0 for the lowest one): 213 meV/atom.

---

DFT (PBE-GGA) results for Tb2PuGa after structural relaxation.

Geometry as POSCAR:
```
Tb2PuGa
1.0
4.7781 0.0000 0.0000
0.0000 4.7781 0.0000
0.0000 0.0000 4.4975
Tb Pu Ga
2 1 1
Cartesian
0.0000 2.3891 0.0000
2.3891 0.0000 0.0000
0.0000 0.0000 2.2488
2.3891 2.3891 2.2488
```

Output
The value obtained for the total magnetization is 1.6136 μB per atom. As for the space-group type: P4/mmm. As for the formation energy: -0.15 eV per atom. The total energy is -6.8044 eV/atom. As for the polymorph energy (0 for the lowest one): 45 meV/atom.

---

DFT (PBE-GGA) results for SrScFe2 after structural relaxation.

Geometry as POSCAR:
```
SrScFe2
1.0
3.4965 0.0000 0.0000
0.0000 4.2904 0.0000
0.0000 0.0000 12.2025
Sr Sc Fe
2 2 4
Cartesian
0.0000 0.0000 0.0000
1.7482 2.1452 6.1013
0.0000 2.1452 2.9037
1.7482 0.0000 9.0050
0.0000 0.0000 4.4979
0.0000 2.1452 9.1250
1.7482 0.0000 3.0238
1.7482 2.1452 10.5991
```

Output
The value obtained for the total magnetization is 0.9482 μB per atom. As for the space-group type: Imm2. As for the formation energy: 0.30 eV per atom. The total energy is -5.9337 eV/atom.

---

DFT (PBE-GGA) results for NaCuSiAu6 after structural relaxation.

Geometry as POSCAR:
```
NaCuSiAu6
1.0
-2.7959 4.7499 6.7995
2.7959 -4.7499 6.7995
2.7959 4.7499 -6.7995
Na Cu Si Au
2 2 2 12
Cartesian
0.0000 2.3749 2.6598
2.7959 2.3749 4.1397
1.3980 2.3749 -3.3997
1.3980 -2.3749 3.3997
2.7959 0.0000 0.0000
0.0000 0.0000 6.7995
1.3926 -0.1170 1.9921
4.1993 -0.1170 1.9921
2.7959 -2.3749 5.7701
2.7959 2.3749 0.7636
1.3926 4.6329 -1.9921
1.4033 -0.1170 4.8074
1.3926 4.8668 1.9921
1.4033 0.1170 8.7915
0.0000 2.3749 6.0359
0.0000 7.1248 1.0294
-1.4033 4.8668 4.8074
1.4033 4.8668 4.8074
```

Output
The value obtained for the total magnetization is 0.0000 μB per atom. As for the space-group type: Imma. The total energy is -3.3557 eV/atom.

---

DFT (PBE-GGA) results for BaTcIr2 after structural relaxation.

Geometry as POSCAR:
```
BaTcIr2
1.0
4.4474 0.0000 0.0000
0.0000 4.4474 0.0000
0.0000 0.0000 7.8852
Ba Tc Ir
2 2 4
Cartesian
0.0000 0.0000 0.0000
2.2237 2.2237 3.9426
0.0000 0.0000 3.9426
2.2237 2.2237 0.0000
0.0000 2.2237 1.9713
0.0000 2.2237 5.9139
2.2237 0.0000 1.9713
2.2237 0.0000 5.9139
```

Output
The value obtained for the total magnetization is 0.6231 μB per atom. As for the space-group type: I4/mmm. As for the formation energy: 1.03 eV per atom. The total energy is -6.4776 eV/atom. As for the polymorph energy (0 for the lowest one): 931 meV/atom.

---

DFT (PBE-GGA) results for AcH2Br4 after structural relaxation.

Geometry as POSCAR:
```
AcH2Br4
1.0
4.7575 0.0000 0.0000
0.0000 15.2876 0.0000
0.0000 0.0000 5.8898
Ac H Br
2 4 8
Cartesian
0.0000 0.0000 0.0000
2.3787 7.6438 0.0000
0.0000 3.2128 2.9449
0.0000 12.0748 2.9449
2.3787 4.4310 2.9449
2.3787 10.8565 2.9449
0.0000 1.6016 2.9449
0.0000 5.7015 0.0000
0.0000 9.5860 0.0000
0.0000 13.6860 2.9449
2.3787 1.9423 0.0000
2.3787 6.0422 2.9449
2.3787 9.2454 2.9449
2.3787 13.3453 0.0000
```

Output
The value obtained for the total magnetization is 0.1006 μB per atom. As for the space-group type: Cmmm. The total energy is -3.2894 eV/atom.

---

DFT (PBE-GGA) results for LaMg2Te after structural relaxation.

Geometry as POSCAR:
```
LaMg2Te
1.0
4.6318 0.0000 0.0000
0.0000 4.5618 0.0000
-0.0367 0.0000 5.2645
La Mg Te
1 2 1
Cartesian
0.0000 0.0000 0.0000
-0.0184 2.2809 2.6323
2.2975 0.0000 2.6323
2.3159 2.2809 0.0000
```

Output
The value obtained for the total magnetization is 0.0000 μB per atom. As for the space-group type: P2/m. The total energy is -3.3792 eV/atom.

---

DFT (PBE-GGA) results for LiLaAs2Br after structural relaxation.

Geometry as POSCAR:
```
LiLaAs2Br
1.0
4.5977 0.0000 0.0000
0.0000 4.5977 0.0000
0.0000 0.0000 5.3461
Li La As Br
1 1 2 1
Cartesian
0.0000 0.0000 0.0000
2.2989 2.2989 2.6731
0.0000 2.2989 0.0000
2.2989 0.0000 0.0000
0.0000 0.0000 2.6731
```

Output
The value obtained for the total magnetization is 0.0000 μB per atom. As for the space-group type: P4/mmm. The total energy is -4.2342 eV/atom. As for the polymorph energy (0 for the lowest one): 0 meV/atom.

---

DFT (PBE-GGA) results for KSr2Mn after structural relaxation.

Geometry as POSCAR:
```
KSr2Mn
1.0
8.2844 0.0000 0.0000
0.0000 8.2844 0.0000
0.0000 0.0000 11.7153
K Sr Mn
4 8 4
Cartesian
0.0000 0.0000 0.0000
0.0000 4.1422 2.9288
4.1422 0.0000 8.7865
4.1422 4.1422 5.8577
0.0268 6.2133 7.3221
2.0711 0.0268 4.3932
2.0711 4.1154 10.2509
4.1154 6.2133 1.4644
4.1691 2.0711 1.4644
6.2133 4.1691 10.2509
6.2133 8.2576 4.3932
8.2576 2.0711 7.3221
0.0000 0.0000 5.8577
0.0000 4.1422 8.7865
4.1422 0.0000 2.9288
4.1422 4.1422 0.0000
```

Output
The value obtained for the total magnetization is 0.0001 μB per atom. As for the space-group type: I-42d. As for the formation energy: 1.17 eV per atom. The total energy is -2.2369 eV/atom. As for the polymorph energy (0 for the lowest one): 814 meV/atom.

---

Question: Which of these has the highest total magnetization?
Answer: Tb2PuGa